The following is a PBE calculation of a relaxed structure of Nb6SnAu2, from the Alexandria database. Values from VASP.

Geometry as Quantum ESPRESSO input:
```
&SYSTEM
  ibrav = 0, nat = 18, ntyp = 3
/
ATOMIC_SPECIES
Sn 118.71 Sn.upf
Nb 92.91 Nb.upf
Au 196.97 Au.upf
CELL_PARAMETERS angstrom
5.3576 0.0434 -0.7174
-1.1427 7.9022 -0.6610
0.0826 -0.0236 8.0112
ATOMIC_POSITIONS crystal
Sn 0.7500 0.0911 0.9089
Sn 0.2500 0.9089 0.0911
Nb 0.7209 0.9523 0.5671
Nb 0.0015 0.2872 0.6772
Nb 0.9985 0.7128 0.3229
Nb 0.7024 0.7427 0.9598
Nb 0.2976 0.2573 0.0402
Nb 0.2209 0.5671 0.9523
Nb 0.7791 0.4329 0.0477
Nb 0.2791 0.0477 0.4329
Nb 0.5015 0.6772 0.2872
Nb 0.7976 0.0402 0.2573
Nb 0.4985 0.3229 0.7128
Nb 0.2024 0.9598 0.7427
Au 0.3545 0.6528 0.6185
Au 0.1455 0.3815 0.3472
Au 0.6455 0.3472 0.3815
Au 0.8545 0.6185 0.6528
```

## Properties
The value obtained for the density of states at the Fermi level is 0.8315 states/eV/atom. The value obtained for the energy relative to the elements is -0.01 eV/atom. The space group is C2/c.

The following is a PBE calculation of a relaxed structure of Cr2AsPdC, from the Alexandria database. Values from VASP.

Geometry as Quantum ESPRESSO input:
```
&SYSTEM
  ibrav = 0, nat = 5, ntyp = 4
/
ATOMIC_SPECIES
Pd 106.42 Pd.upf
As 74.92 As.upf
Cr 52.00 Cr.upf
C 12.01 C.upf
CELL_PARAMETERS angstrom
4.0275 0.0000 0.0000
0.0000 4.2407 0.0000
0.0000 0.0000 4.0275
ATOMIC_POSITIONS crystal
Pd 0.0000 0.5000 0.0000
As 0.5000 0.5000 0.5000
Cr 0.5000 0.0000 0.0000
Cr 0.0000 0.0000 0.5000
C 0.0000 0.0000 0.0000
```

## Properties
The value obtained for the density of states at the Fermi level is 0.7526 states/eV/atom. The value obtained for the energy relative to the elements is 0.22 eV/atom. The space group is P4/mmm.

The following is a PBE calculation of a relaxed structure of TbPr3Cd4, from the Alexandria database. Values from VASP.

Geometry as Quantum ESPRESSO input:
```
&SYSTEM
  ibrav = 0, nat = 8, ntyp = 3
/
ATOMIC_SPECIES
Cd 112.41 Cd.upf
Pr 140.91 Pr.upf
Tb 158.93 Tb.upf
CELL_PARAMETERS angstrom
-0.8314 0.8331 3.6518
-1.9503 -3.2899 0.3065
12.9468 -7.2462 4.6008
ATOMIC_POSITIONS crystal
Cd 0.0000 0.0000 0.3732
Cd 0.0000 0.0000 0.8855
Cd 0.0000 0.0000 0.6268
Cd 0.0000 0.0000 0.1145
Pr 0.5000 0.5000 0.7554
Pr 0.5000 0.5000 0.5000
Pr 0.5000 0.5000 0.2446
Tb 0.5000 0.5000 0.0000
```

## Properties
The value obtained for the density of states at the Fermi level is 1.1972 states/eV/atom. The value obtained for the energy relative to the elements is -0.32 eV/atom. The space group is P4/mmm.

The following is a PBE calculation of a relaxed structure of Mn2AlCo, from the Alexandria database. Values from VASP.

Geometry as Quantum ESPRESSO input:
```
&SYSTEM
  ibrav = 0, nat = 4, ntyp = 3
/
ATOMIC_SPECIES
Co 58.93 Co.upf
Mn 54.94 Mn.upf
Al 26.98 Al.upf
CELL_PARAMETERS angstrom
2.5875 -0.0003 0.0000
0.0004 2.5875 0.0000
0.0000 0.0000 7.0740
ATOMIC_POSITIONS crystal
Co 0.5000 0.5000 0.7500
Mn 0.0000 0.0000 0.5167
Mn 0.0000 0.0000 0.9833
Al 0.5000 0.5000 0.2500
```

## Properties
The value obtained for the density of states at the Fermi level is 1.0750 states/eV/atom. The value obtained for the energy relative to the elements is -0.05 eV/atom. The space group is P4/mmm. Its excess energy over the best structure of this formula in the dataset is 215 meV/atom.

The following is a PBE calculation of a relaxed structure of IrBrCl2, from the Alexandria database. Values from VASP.

Geometry as Quantum ESPRESSO input:
```
&SYSTEM
  ibrav = 0, nat = 4, ntyp = 3
/
ATOMIC_SPECIES
Cl 35.45 Cl.upf
Ir 192.22 Ir.upf
Br 79.90 Br.upf
CELL_PARAMETERS angstrom
-4.8455 4.8923 -2.8595
-5.9091 4.4957 0.6795
-3.1021 6.7777 -0.1726
ATOMIC_POSITIONS crystal
Cl 0.0107 0.0107 0.0107
Cl 0.2216 0.2216 0.2216
Ir 0.4981 0.4981 0.4981
Br 0.7697 0.7697 0.7697
```

## Properties
The space group is R3m. Its excess energy over the best structure of this formula in the dataset is 468 meV/atom. For the formation energy (no corrections), the calculation gives 0.06 eV per atom.

The following is a PBE calculation of a relaxed structure of TaRu, from the Alexandria database. Values from VASP.

Geometry as Quantum ESPRESSO input:
```
&SYSTEM
  ibrav = 0, nat = 16, ntyp = 2
/
ATOMIC_SPECIES
Ru 101.07 Ru.upf
Ta 180.95 Ta.upf
CELL_PARAMETERS angstrom
-0.2357 2.7863 -4.1148
-2.1993 -3.9297 -2.5350
-9.3315 3.3947 2.8333
ATOMIC_POSITIONS crystal
Ru 0.3536 0.6054 0.7675
Ru 0.8536 0.8946 0.2325
Ru 0.6692 0.4004 0.9481
Ru 0.6464 0.1054 0.7325
Ru 0.8308 0.5996 0.4481
Ru 0.1464 0.3946 0.2675
Ru 0.1692 0.0996 0.0519
Ru 0.3308 0.9004 0.5519
Ta 0.8540 0.0946 0.4836
Ta 0.1461 0.5946 0.0164
Ta 0.8608 0.6143 0.6951
Ta 0.6392 0.3857 0.1951
Ta 0.1393 0.1143 0.8049
Ta 0.3608 0.8857 0.3049
Ta 0.3540 0.4054 0.5164
Ta 0.6460 0.9054 0.9836
```

## Properties
The value obtained for the density of states at the Fermi level is 0.8412 states/eV/atom. The value obtained for the energy relative to the elements is -0.20 eV/atom. The space group is P2_12_12_1.

The following is a PBE calculation of a relaxed structure of ZnIr2Pt, from the Alexandria database. Values from VASP.

Geometry as Quantum ESPRESSO input:
```
&SYSTEM
  ibrav = 0, nat = 4, ntyp = 3
/
ATOMIC_SPECIES
Ir 192.22 Ir.upf
Zn 65.41 Zn.upf
Pt 195.08 Pt.upf
CELL_PARAMETERS angstrom
-3.6947 0.4653 2.9029
-2.3718 -4.0824 0.0496
4.5843 0.9332 0.6382
ATOMIC_POSITIONS crystal
Ir 0.0000 0.0000 0.0000
Ir 0.2500 0.7500 0.5000
Zn 0.7500 0.2500 0.5000
Pt 0.5000 0.5000 0.0000
```

## Properties
The value obtained for the density of states at the Fermi level is 0.6086 states/eV/atom. The value obtained for the energy relative to the elements is -0.09 eV/atom. The space group is I-4m2.

The following is a PBE calculation of a relaxed structure of Ac4BeO7, from the Alexandria database. Values from VASP.

Geometry as Quantum ESPRESSO input:
```
&SYSTEM
  ibrav = 0, nat = 12, ntyp = 3
/
ATOMIC_SPECIES
O 16.00 O.upf
Ac 227.00 Ac.upf
Be 9.01 Be.upf
CELL_PARAMETERS angstrom
4.2729 0.0000 0.0000
2.1365 6.8761 0.1162
2.1365 0.4963 6.8271
ATOMIC_POSITIONS crystal
O 0.5000 0.0000 0.0000
O 0.3624 0.5553 0.7199
O 0.6376 0.4447 0.2801
O 0.9319 0.2207 0.9155
O 0.2018 0.1477 0.4487
O 0.0681 0.7793 0.0845
O 0.7982 0.8523 0.5513
Ac 0.7319 0.6746 0.8617
Ac 0.5822 0.2122 0.6233
Ac 0.4178 0.7878 0.3767
Ac 0.2681 0.3254 0.1383
Be 0.0000 0.0000 0.0000
```

## Properties
The value obtained for the density of states at the Fermi level is 0.0000 states/eV/atom. The space group is C2/m. For the formation energy (no corrections), the calculation gives -3.08 eV per atom.